VASP calculation (PBE) on an optimized crystal structure of NaSb3Pd3.

Unit cell a=7.1909 b=7.1909 c=7.1909 alpha=69.41 beta=69.41 gamma=69.41
Closest atoms and distances in Å follow each position.
Element x y z (fractional)
1 Na 0.1644 0.1644 0.1644  6 Pd 2.84-2.87
2 Na 0.8356 0.8356 0.8356  6 Pd 2.84-2.87
3 Sb 0.1140 0.4013 0.7013  5 Pd 2.73-2.81
4 Sb 0.2987 0.8860 0.5987  5 Pd 2.73-2.81
5 Sb 0.4013 0.7013 0.1140  5 Pd 2.73-2.81
6 Sb 0.5987 0.2987 0.8860  5 Pd 2.73-2.81
7 Sb 0.7013 0.1140 0.4013  5 Pd 2.73-2.81
8 Sb 0.8860 0.5987 0.2987  5 Pd 2.73-2.81
9 Pd 0.0589 0.7922 0.4336  5 Sb 2.73-2.81, 2 Na 2.84-2.87
10 Pd 0.2078 0.5664 0.9411  5 Sb 2.73-2.81, 2 Na 2.84-2.87
11 Pd 0.4336 0.0589 0.7922  5 Sb 2.73-2.81, 2 Na 2.84-2.87
12 Pd 0.5664 0.9411 0.2078  5 Sb 2.73-2.81, 2 Na 2.84-2.87
13 Pd 0.7922 0.4336 0.0589  5 Sb 2.73-2.81, 2 Na 2.84-2.87
14 Pd 0.9411 0.2078 0.5664  5 Sb 2.73-2.81, 2 Na 2.84-2.87

Magnetization in μB per atom: 0.00
Energy relative to the elements, uncorrected in eV/f.u.: -2.14
Fermi-level density of states in states/eV/atom: 0.45